Here is an optimized crystal structure of Sr2HoInS5 from Alexandria. Energies are from PBE-GGA.

## Properties
- Formation energy (no corrections): -1.699 eV per atom
- Space-group type: Cmc2_1 (36)
- Magnetic moment: 0.00 μB/f.u.

abc: 8.931 8.931 12.679
angles: 90.00 90.00 153.81
Fractional positions:
Sr1 0.112 0.888 0.500
Sr2 0.136 0.864 0.129
Sr3 0.864 0.136 0.629
Sr4 0.888 0.112 0.000
Ho1 0.215 0.785 0.838
Ho2 0.785 0.215 0.338
In1 0.459 0.541 0.266
In2 0.541 0.459 0.766
S1 0.052 0.948 0.879
S2 0.285 0.715 0.481
S3 0.314 0.686 0.193
S4 0.366 0.634 0.819
S5 0.493 0.507 0.587
S6 0.507 0.493 0.087
S7 0.634 0.366 0.319
S8 0.686 0.314 0.693
S9 0.715 0.285 0.981
S10 0.948 0.052 0.379